(1)
DFT (PBE) results for crystalline BeCdAs2 at its relaxed geometry.

```
BeCdAs2
1.0
4.4098 0.0000 0.0000
0.0000 4.4098 0.0000
0.0000 0.0000 7.5157
Be Cd As
2 2 4
Cartesian
0.0000 0.0000 0.0000 Be
2.2049 2.2049 3.7578 Be
0.0000 0.0000 3.7578 Cd
2.2049 2.2049 0.0000 Cd
0.0000 2.2049 1.8789 As
0.0000 2.2049 5.6367 As
2.2049 0.0000 1.8789 As
2.2049 0.0000 5.6367 As
```

Values from the calculation:
Fermi-level density of states	0.38	states/eV per atom
volume	146	Å³ per cell
crystal system	tetragonal
SG	I4/mmm
size of the total moment	0.00	μB/f.u.
calculated density	6.164	g/cm3
relative energy among the computed polymorphs	462	meV/atom

(2)
DFT (PBE) results for crystalline BePAu2N at its relaxed geometry.

```
BePAu2N
1.0
4.8009 0.0000 0.0000
0.0000 4.8009 0.0000
0.0000 0.0000 3.9833
Be P Au N
1 1 2 1
Cartesian
0.0000 0.0000 0.0000 Be
0.0000 0.0000 1.9916 P
0.0000 2.4005 1.9916 Au
2.4005 0.0000 1.9916 Au
2.4005 2.4005 0.0000 N
```

Values from the calculation:
Fermi-level density of states	0.27	states/eV per atom
volume	92	Å³ per cell
crystal system	tetragonal
ΔE_f (raw)	1.224	eV/atom
SG	P4/mmm
size of the total moment	2.01	μB/f.u.
calculated density	8.102	g/cm3

(3)
DFT (PBE) results for crystalline Ac6ErCd2 at its relaxed geometry.

```
Ac6ErCd2
1.0
6.9302 -2.0125 0.0000
6.9302 2.0125 0.0000
-4.0390 0.0000 12.3531
Ac Er Cd
6 1 2
Cartesian
-0.9237 0.0000 4.0672 Ac
2.6983 0.0000 5.0192 Ac
3.9609 0.0000 1.4931 Ac
5.8604 0.0000 10.8600 Ac
7.1230 0.0000 7.3339 Ac
10.7450 0.0000 8.2860 Ac
0.0000 0.0000 0.0000 Er
1.6863 0.0000 10.1501 Cd
8.1351 0.0000 2.2030 Cd
```

Values from the calculation:
Fermi-level density of states	1.20	states/eV per atom
volume	345	Å³ per cell
crystal system	monoclinic
SG	C2/m
size of the total moment	0.00	μB/f.u.
calculated density	8.453	g/cm3
DFT total energy	-3.543	eV per atom

(4)
DFT (PBE) results for crystalline Li2TiHg at its relaxed geometry.

```
Li2TiHg
1.0
7.3931 0.0000 0.0000
0.0000 7.3931 0.0000
0.0000 0.0000 5.6248
Li Ti Hg
8 4 4
Cartesian
1.6946 5.5448 0.7031 Li
1.8483 1.6946 4.9217 Li
1.8483 2.0020 2.1093 Li
2.0020 5.5448 3.5155 Li
5.3912 1.8483 3.5155 Li
5.5448 5.3912 2.1093 Li
5.5448 5.6985 4.9217 Li
5.6985 1.8483 0.7031 Li
0.0000 0.0000 2.8124 Ti
0.0000 3.6966 4.2186 Ti
3.6966 0.0000 1.4062 Ti
3.6966 3.6966 0.0000 Ti
0.0000 0.0000 0.0000 Hg
0.0000 3.6966 1.4062 Hg
3.6966 0.0000 4.2186 Hg
3.6966 3.6966 2.8124 Hg
```

Values from the calculation:
Fermi-level density of states	0.83	states/eV per atom
volume	307	Å³ per cell
crystal system	tetragonal
SG	I-42d
size of the total moment	2.23	μB/f.u.
calculated density	5.668	g/cm3
DFT total energy	-2.719	eV per atom

(5)
DFT (PBE) results for crystalline BeC2 at its relaxed geometry.

```
BeC2
1.0
0.0000 2.7392 2.7392
2.7392 0.0000 2.7392
2.7392 2.7392 0.0000
Be C
2 4
Cartesian
0.6848 0.6848 0.6848 Be
4.7936 4.7936 4.7936 Be
2.7392 1.3696 1.3696 C
1.3696 2.7392 1.3696 C
1.3696 1.3696 2.7392 C
2.7392 2.7392 2.7392 C
```

Values from the calculation:
Fermi-level density of states	0.45	states/eV per atom
volume	41	Å³ per cell
crystal system	cubic
SG	Fd-3m
size of the total moment	0.00	μB/f.u.
calculated density	2.669	g/cm3
relative energy among the computed polymorphs	2303	meV/atom

(6)
DFT (PBE) results for crystalline Li2BrCl at its relaxed geometry.

```
Li2BrCl
1.0
3.7214 0.0000 0.0000
-1.8607 3.2229 0.0000
0.0000 0.0000 19.6034
Li Br Cl
6 3 3
Cartesian
0.0000 0.0000 0.0000 Li
0.0000 0.0000 3.1541 Li
0.0000 2.1486 13.0690 Li
0.0000 2.1486 16.2230 Li
1.8607 1.0743 6.5345 Li
1.8607 1.0743 9.6885 Li
0.0000 0.0000 11.4187 Br
0.0000 2.1486 4.8842 Br
1.8607 1.0743 17.9531 Br
0.0000 0.0000 8.0104 Cl
0.0000 2.1486 1.4759 Cl
1.8607 1.0743 14.5448 Cl
```

Values from the calculation:
Fermi-level density of states	0.00	states/eV per atom
volume	235	Å³ per cell
crystal system	trigonal
ΔE_f (raw)	-1.597	eV/atom
SG	R3m
size of the total moment	0.00	μB/f.u.
calculated density	2.738	g/cm3
relative energy among the computed polymorphs	84	meV/atom

(7)
DFT (PBE) results for crystalline PuU2PaP5 at its relaxed geometry.

```
PuU2PaP5
1.0
4.8800 0.0000 0.0000
0.0000 4.8800 0.0000
0.0000 0.0000 10.3799
Pu U Pa P
1 2 1 5
Cartesian
0.0000 0.0000 0.0000 Pu
2.4400 2.4400 3.0479 U
2.4400 2.4400 7.3320 U
0.0000 0.0000 5.1899 Pa
0.0000 0.0000 2.5725 P
0.0000 0.0000 7.8074 P
0.0000 2.4400 5.1899 P
2.4400 0.0000 5.1899 P
2.4400 2.4400 0.0000 P
```

Values from the calculation:
Fermi-level density of states	3.75	states/eV per atom
volume	247	Å³ per cell
crystal system	tetragonal
SG	P4/mmm
size of the total moment	0.91	μB/f.u.
calculated density	7.430	g/cm3
DFT total energy	-8.270	eV per atom

(8)
DFT (PBE) results for crystalline K2CoGeAu at its relaxed geometry.

```
K2CoGeAu
1.0
6.1438 0.0000 0.0000
0.0000 6.1438 0.0000
0.0000 0.0000 4.8036
K Co Ge Au
2 1 1 1
Cartesian
0.0000 3.0719 0.0000 K
3.0719 0.0000 0.0000 K
0.0000 0.0000 0.0000 Co
3.0719 3.0719 2.4018 Ge
0.0000 0.0000 2.4018 Au
```

Values from the calculation:
Fermi-level density of states	1.36	states/eV per atom
volume	181	Å³ per cell
crystal system	tetragonal
SG	P4/mmm
size of the total moment	4.08	μB/f.u.
calculated density	3.725	g/cm3
DFT total energy	-2.659	eV per atom

(9)
DFT (PBE) results for crystalline IrRu2Cl at its relaxed geometry.

```
IrRu2Cl
1.0
2.8119 0.0000 0.0000
0.0000 2.8119 0.0000
0.0000 0.0000 7.4260
Ir Ru Cl
1 2 1
Cartesian
0.0000 0.0000 0.0000 Ir
1.4060 1.4060 1.8237 Ru
1.4060 1.4060 5.6022 Ru
0.0000 0.0000 3.7130 Cl
```

Values from the calculation:
Fermi-level density of states	1.56	states/eV per atom
volume	59	Å³ per cell
crystal system	tetragonal
ΔE_f (raw)	0.517	eV/atom
SG	P4/mmm
size of the total moment	0.00	μB/f.u.
calculated density	12.155	g/cm3
relative energy among the computed polymorphs	119	meV/atom

(10)
DFT (PBE) results for crystalline PmDy2HoSe6 at its relaxed geometry.

```
PmDy2HoSe6
1.0
3.6269 2.0940 6.5013
-3.6269 2.0940 6.5013
0.0000 -4.1880 6.5013
Pm Dy Ho Se
1 2 1 6
Cartesian
0.0000 0.0000 0.0000 Pm
0.0000 0.0000 5.8386 Dy
0.0000 0.0000 15.6386 Dy
0.0000 0.0000 9.6798 Ho
-2.1726 -0.0788 7.7665 Se
-1.3962 -2.0971 11.0011 Se
1.1546 -1.8422 7.7665 Se
-1.1180 2.2577 11.0011 Se
1.0181 1.9210 7.7665 Se
2.5142 -0.1606 11.0011 Se
```

Values from the calculation:
Fermi-level density of states	0.00	states/eV per atom
volume	296	Å³ per cell
crystal system	trigonal
ΔE_f (raw)	-1.849	eV/atom
SG	R3
size of the total moment	0.00	μB/f.u.
calculated density	6.214	g/cm3